Computed, not measured: a geometry-optimized HoBe2TlF8 structure at the GGA-PBE level of DFT.

Summary:
Total magnetic moment in μB/f.u.: 0.0
Fermi-level density of states in states/eV per atom: 0.00
E_form (uncorrected) in eV per formula unit: -39.9

Unit cell a=5.1389 b=5.1389 c=24.3827 alpha=90.00 beta=90.00 gamma=120.00
Closest atoms and distances in Å follow each position.
Space group R-3 (No. 148, hexagonal axes)
One atom of each set of equivalent atoms:
Ho  0.0000  0.0000  0.0000  6 F 2.18
Be  0.0000  0.0000  0.2550  4 F 1.49-1.59
Tl  0.0000  0.0000  0.5000  12 F 3.04-3.39
F  0.0000  0.0000  0.1937  1 Be 1.49
F  0.0278  0.7293  0.7198  1 Be 1.59